Density functional theory data (PBE with a Hubbard U) for an optimized crystal structure of K2CeCrF6.

Unit cell a=6.851 b=8.560 c=6.985 alpha=90.00 beta=90.00 gamma=90.00
Space group Pmmn (No. 59, origin choice 2)
Inequivalent atoms, fractional coordinates:
K1 0.250 0.009 0.168 (multiplicity 4)
Ce1 0.250 0.250 0.681 (multiplicity 2)
Cr1 0.250 0.750 0.750 (multiplicity 2)
F1 0.005 0.750 0.104 (multiplicity 4)
F2 0.046 0.250 0.423 (multiplicity 4)
F3 0.250 0.511 0.772 (multiplicity 4)

Summary:
Energy in eV/cell: -111.9
Crystal system: orthorhombic